Record 1
The following is a PBE calculation of a relaxed structure of BaCoSb2Te, from Alexandria via LeMat-Bulk.

## Properties
Energy relative to the elements, uncorrected (kJ/mol of atoms): -32
Final energy (eV per formula unit): -22.10
Space-group type: P4/mmm

Lattice parameters (Å, degrees): 4.966 4.966 5.895 90.00 90.00 90.00
Site moments in Bohr magnetons follow the coordinates.
Fractional coordinates of all 5 atoms:
Te: 0.000 0.000 0.500  -0.01
Sb: 0.000 0.500 0.000  0.03
Sb: 0.500 0.000 0.000  0.03
Co: 0.000 0.000 0.000  0.54
Ba: 0.500 0.500 0.500  0.02

Record 2
The following is a PBE calculation of a relaxed structure of BaCoSb2Te, from Alexandria via LeMat-Bulk.

## Properties
Energy relative to the elements, uncorrected (kJ/mol of atoms): 139
Final energy (eV per formula unit): -13.21
Space-group type: P4/mmm

Lattice parameters (Å, degrees): 6.338 6.338 6.338 90.00 90.00 90.00
Site moments in Bohr magnetons follow the coordinates.
Fractional coordinates of all 5 atoms:
Sb: 0.000 0.500 0.000  -0.12
Sb: 0.500 0.000 0.000  -0.12
Co: 0.500 0.500 0.500  2.41
Te: 0.000 0.000 0.500  -0.02
Ba: 0.000 0.000 0.000  0.00

Record 3
The following is a PBE calculation of a relaxed structure of BaYCoSb2, from Alexandria via LeMat-Bulk.

## Properties
Energy relative to the elements, uncorrected (kJ/mol of atoms): 75
Final energy (eV per formula unit): -19.84
Space-group type: P4/mmm

Lattice parameters (Å, degrees): 5.709 6.782 5.709 90.00 90.00 90.00
Site moments in Bohr magnetons follow the coordinates.
Fractional coordinates of all 5 atoms:
Ba: 0.000 0.500 0.000  0.12
Y: 0.000 0.000 0.000  0.22
Sb: 0.000 0.000 0.500  -0.01
Sb: 0.500 0.000 0.000  0.00
Co: 0.500 0.500 0.500  2.24

Record 4
The following is a PBE calculation of a relaxed structure of BaScCo3, from Alexandria via LeMat-Bulk.

## Properties
Final energy (eV per formula unit): -20.60
Space-group type: Pm-3m

Lattice parameters (Å, degrees): 4.738 4.738 4.738 90.00 90.00 90.00
Fractional coordinates of all 5 atoms:
Ba: 0.000 0.000 0.000
Co: 0.000 0.000 0.500
Co: 0.000 0.500 0.000
Co: 0.500 0.000 0.000
Sc: 0.500 0.500 0.500

> Look up the final energy of the first one.

-22.10 eV per formula unit

> Which of these has the lowest final energy?

number 1

Repeat the fourth record exactly.
The following is a PBE calculation of a relaxed structure of BaScCo3, from Alexandria via LeMat-Bulk.

## Properties
Final energy (eV per formula unit): -20.60
Space-group type: Pm-3m

Lattice parameters (Å, degrees): 4.738 4.738 4.738 90.00 90.00 90.00
Fractional coordinates of all 5 atoms:
Ba: 0.000 0.000 0.000
Co: 0.000 0.000 0.500
Co: 0.000 0.500 0.000
Co: 0.500 0.000 0.000
Sc: 0.500 0.500 0.500

> Which formula does entry 2 have?

BaCoSb2Te